P:
DFT (GGA-PBE) results for crystalline AgRh2Au at its relaxed geometry.

Unit cell a=3.9455 b=3.9455 c=8.2381 alpha=90.00 beta=90.00 gamma=90.00
Closest atoms and distances in Å follow each position.
Space group I4/mmm (No. 139)
One atom of each set of equivalent atoms:
Ag  0.0000  0.0000  0.0000 [2 per cell]  4 Au 2.79, 8 Rh 2.85
Rh  0.0000  0.5000  0.2500 [4 per cell]  4 Rh 2.79, 4 Ag 2.85, 4 Au 2.85
Au  0.0000  0.0000  0.5000 [2 per cell]  4 Ag 2.79, 8 Rh 2.85

***

Q:
DFT (GGA-PBE) results for crystalline AgRh2Au at its relaxed geometry.

Unit cell a=4.8587 b=2.8140 c=4.9341 alpha=90.00 beta=109.12 gamma=90.00
Closest atoms and distances in Å follow each position.
Space group P2/m (No. 10)
One atom of each set of equivalent atoms:
Ag  0.0000  0.0000  0.0000 [1 per cell]  4 Au 2.81, 2 Ag 2.81, 6 Rh 2.84
Rh  0.0000  0.5000  0.5000 [1 per cell]  6 Rh 2.81, 2 Au 2.84, 4 Ag 2.84
Rh  0.5000  0.0000  0.5000 [1 per cell]  6 Rh 2.81, 2 Ag 2.84, 4 Au 2.84
Au  0.5000  0.5000  0.0000 [1 per cell]  4 Ag 2.81, 2 Au 2.81, 6 Rh 2.84

***

R:
DFT (GGA-PBE) results for crystalline AgRh2Au at its relaxed geometry.

Unit cell a=2.8121 b=2.8121 c=28.1097 alpha=90.00 beta=90.00 gamma=120.00
Closest atoms and distances in Å follow each position.
Space group R3m (No. 160, hexagonal axes)
One atom of each set of equivalent atoms:
Ag  0.0000  0.0000  0.0000 [3 per cell]  6 Ag 2.81, 3 Rh 2.87, 3 Au 2.99
Rh  0.0000  0.0000  0.4925 [3 per cell]  9 Rh 2.66-2.81, 3 Au 2.89
Rh  0.0000  0.0000  0.7511 [3 per cell]  9 Rh 2.66-2.81, 3 Ag 2.87
Au  0.0000  0.0000  0.2441 [3 per cell]  6 Au 2.81, 3 Rh 2.89, 3 Ag 2.99

***

S:
DFT (GGA-PBE) results for crystalline AgRh2Au at its relaxed geometry.

Unit cell a=7.3220 b=7.3220 c=5.3248 alpha=90.00 beta=90.00 gamma=90.00
Closest atoms and distances in Å follow each position.
Space group I-42d (No. 122)
One atom of each set of equivalent atoms:
Ag  0.0000  0.0000  0.0000 [4 per cell]  2 Au 2.66, 4 Rh 2.69
Rh  0.2458  0.7500  0.6250 [8 per cell]  2 Au 2.65, 2 Rh 2.66, 2 Ag 2.69
Au  0.0000  0.0000  0.5000 [4 per cell]  4 Rh 2.65, 2 Ag 2.66

***

Energy ordering: R at the bottom, the next structure 73 meV per atom above.

***

P:
DFT (GGA-PBE) results for crystalline AgRh2Au at its relaxed geometry.

Unit cell a=6.3821 b=6.3821 c=6.3821 alpha=90.00 beta=90.00 gamma=90.00
Closest atoms and distances in Å follow each position.
Space group F-43m (No. 216)
One atom of each set of equivalent atoms:
Ag  0.0000  0.0000  0.0000 [4 per cell]  4 Rh 2.76, 4 Au 2.76
Rh  0.0000  0.0000  0.5000 [4 per cell]  4 Rh 2.76, 4 Au 2.76
Rh  0.2500  0.2500  0.7500 [4 per cell]  4 Rh 2.76, 4 Ag 2.76
Au  0.2500  0.2500  0.2500 [4 per cell]  4 Rh 2.76, 4 Ag 2.76

***

Q:
DFT (GGA-PBE) results for crystalline AgRh2Au at its relaxed geometry.

Unit cell a=2.7901 b=4.8027 c=9.7133 alpha=90.00 beta=90.00 gamma=90.00
Closest atoms and distances in Å follow each position.
Space group Cmm2 (No. 35)
One atom of each set of equivalent atoms:
Ag  0.0000  0.0000  0.0000 [2 per cell]  6 Ag 2.78-2.79, 2 Rh 2.82, 2 Au 2.93
Rh  0.0000  0.0000  0.5205 [2 per cell]  8 Rh 2.61-2.79, 2 Au 2.85
Rh  0.0000  0.5000  0.7477 [2 per cell]  8 Rh 2.61-2.79, 2 Ag 2.82
Au  0.0000  0.5000  0.2651 [2 per cell]  6 Au 2.78-2.79, 2 Rh 2.85, 2 Ag 2.93

***

Energy ordering: Q at the bottom, the next structure 96 meV per atom above.

***

P:
DFT (GGA-PBE) results for crystalline AgRhAu at its relaxed geometry.

Unit cell a=2.8138 b=2.8138 c=12.5957 alpha=90.00 beta=90.00 gamma=90.00
Closest atoms and distances in Å follow each position.
Space group I4mm (No. 107)
One atom of each set of equivalent atoms:
Ag  0.0000  0.0000  0.0000 [2 per cell]  4 Ag 2.81, 4 Rh 2.86, 4 Au 2.96
Rh  0.0000  0.0000  0.6635 [2 per cell]  4 Rh 2.81, 4 Au 2.85, 4 Ag 2.86
Au  0.0000  0.0000  0.3256 [2 per cell]  4 Au 2.81, 4 Rh 2.85, 4 Ag 2.96

***

Q:
DFT (GGA-PBE) results for crystalline AgRhAu at its relaxed geometry.

Unit cell a=3.8616 b=2.8718 c=9.0010 alpha=90.00 beta=90.10 gamma=90.00
Closest atoms and distances in Å follow each position.
Space group P2_1/m (No. 11)
One atom of each set of equivalent atoms:
Ag  0.2499  0.2500  0.0875 [2 per cell]  5 Au 2.86-3.12, 6 Ag 2.87-2.88, 1 Rh 3.11
Rh  0.2499  0.2500  0.4333 [2 per cell]  6 Rh 2.69-2.87, 5 Au 2.77-2.88
Au  0.2502  0.2500  0.7413 [2 per cell]  5 Rh 2.77-2.88, 4 Ag 2.86, 2 Au 2.87

***

R:
DFT (GGA-PBE) results for crystalline AgRhAu at its relaxed geometry.

Unit cell a=2.9120 b=4.7725 c=14.4772 alpha=90.00 beta=90.00 gamma=90.00
Closest atoms and distances in Å follow each position.
Space group Fmm2 (No. 42)
One atom of each set of equivalent atoms:
Ag  0.0000  0.0000  0.0000 [4 per cell]  2 Rh 2.78, 6 Ag 2.80-2.91, 2 Au 2.88
Rh  0.0000  0.0000  0.3363 [4 per cell]  2 Ag 2.78, 2 Au 2.79, 6 Rh 2.80-2.91
Au  0.0000  0.0000  0.6718 [4 per cell]  2 Rh 2.79, 6 Au 2.80-2.91, 2 Ag 2.88

***

Energy ordering: Q at the bottom, the next structure 96 meV per atom above.